! Sm2DyTlO (PBE-GGA, relaxed); values from VASP
! symmetry	No. 123
&SYSTEM
  ibrav = 0, nat = 5, ntyp = 4
/
ATOMIC_SPECIES
Sm 150.36 Sm.upf
Dy 162.50 Dy.upf
Tl 204.38 Tl.upf
O 16.00 O.upf
ATOMIC_POSITIONS crystal
Sm 0.0000 0.5000 0.0000
Sm 0.5000 0.0000 0.0000
Dy 0.0000 0.0000 0.5000
Tl 0.5000 0.5000 0.5000
O 0.0000 0.0000 0.0000
CELL_PARAMETERS angstrom
4.9268 0.0000 0.0000
0.0000 4.9268 0.0000
0.0000 0.0000 4.7674


! Sm12DyTl4O3 (PBE-GGA, relaxed); values from VASP
! symmetry	No. 229
&SYSTEM
  ibrav = 0, nat = 20, ntyp = 4
/
ATOMIC_SPECIES
Sm 150.36 Sm.upf
Dy 162.50 Dy.upf
Tl 204.38 Tl.upf
O 16.00 O.upf
ATOMIC_POSITIONS crystal
Sm 0.0000 0.2753 0.2753
Sm 0.0000 0.7247 0.7247
Sm 0.2500 0.5000 0.7500
Sm 0.2500 0.7500 0.5000
Sm 0.2753 0.0000 0.2753
Sm 0.2753 0.2753 0.0000
Sm 0.5000 0.2500 0.7500
Sm 0.5000 0.7500 0.2500
Sm 0.7247 0.0000 0.7247
Sm 0.7247 0.7247 0.0000
Sm 0.7500 0.2500 0.5000
Sm 0.7500 0.5000 0.2500
Dy 0.0000 0.0000 0.0000
Tl 0.0000 0.0000 0.5000
Tl 0.0000 0.5000 0.0000
Tl 0.5000 0.0000 0.0000
Tl 0.5000 0.5000 0.5000
O 0.0000 0.5000 0.5000
O 0.5000 0.0000 0.5000
O 0.5000 0.5000 0.0000
CELL_PARAMETERS angstrom
-5.1080 5.1080 5.1080
5.1080 -5.1080 5.1080
5.1080 5.1080 -5.1080


! SmDy2TlO (PBE-GGA, relaxed); values from VASP
! symmetry	No. 123
&SYSTEM
  ibrav = 0, nat = 5, ntyp = 4
/
ATOMIC_SPECIES
Sm 150.36 Sm.upf
Dy 162.50 Dy.upf
Tl 204.38 Tl.upf
O 16.00 O.upf
ATOMIC_POSITIONS crystal
Sm 0.0000 0.0000 0.0000
Dy 0.0000 0.5000 0.5000
Dy 0.5000 0.0000 0.5000
Tl 0.5000 0.5000 0.0000
O 0.0000 0.0000 0.5000
CELL_PARAMETERS angstrom
4.7823 0.0000 0.0000
0.0000 4.7823 0.0000
0.0000 0.0000 4.9299


! SmDy2UO8 (PBE-GGA, relaxed); values from VASP
! symmetry	No. 47
&SYSTEM
  ibrav = 0, nat = 12, ntyp = 4
/
ATOMIC_SPECIES
Sm 150.36 Sm.upf
Dy 162.50 Dy.upf
U 238.03 U.upf
O 16.00 O.upf
ATOMIC_POSITIONS crystal
Sm 0.0000 0.0000 0.0000
Dy 0.5000 0.5000 0.2561
Dy 0.5000 0.5000 0.7439
U 0.0000 0.0000 0.5000
O 0.0000 0.2429 0.2752
O 0.0000 0.2429 0.7248
O 0.0000 0.7571 0.2752
O 0.0000 0.7571 0.7248
O 0.5000 0.2320 0.5000
O 0.5000 0.2601 0.0000
O 0.5000 0.7399 0.0000
O 0.5000 0.7680 0.5000
CELL_PARAMETERS angstrom
3.8990 0.0000 0.0000
0.0000 5.3311 0.0000
0.0000 0.0000 7.6067


! SmDyUO6 (PBE-GGA, relaxed); values from VASP
! symmetry	No. 163
&SYSTEM
  ibrav = 0, nat = 18, ntyp = 4
/
ATOMIC_SPECIES
Sm 150.36 Sm.upf
Dy 162.50 Dy.upf
U 238.03 U.upf
O 16.00 O.upf
ATOMIC_POSITIONS crystal
Sm 0.0000 0.0000 0.0000
Sm 0.0000 0.0000 0.5000
Dy 0.3333 0.6667 0.2500
Dy 0.6667 0.3333 0.7500
U 0.3333 0.6667 0.7500
U 0.6667 0.3333 0.2500
O 0.0230 0.3592 0.6359
O 0.0230 0.6638 0.8641
O 0.3362 0.3592 0.8641
O 0.3362 0.9770 0.6359
O 0.3592 0.0230 0.1359
O 0.3592 0.3362 0.3641
O 0.6408 0.6638 0.6359
O 0.6408 0.9770 0.8641
O 0.6638 0.0230 0.3641
O 0.6638 0.6408 0.1359
O 0.9770 0.3362 0.1359
O 0.9770 0.6408 0.3641
CELL_PARAMETERS angstrom
5.8050 0.0000 0.0000
-2.9025 5.0273 0.0000
0.0000 0.0000 9.5789


| no. | total magnetization (μB/atom) | total DFT energy (no corrections) (eV for the cell shown) |
| --- | --- | --- |
| 1 | 0.000 | -28.15 |
| 2 | 0.000 | -100.22 |
| 3 | 0.000 | -28.03 |
| 4 | 0.065 | -104.06 |
| 5 | 0.000 | -160.79 |